Here is HoPuIn2Te4 after structural relaxation from Alexandria via LeMat-Bulk. Energies are from PBE-GGA.

Energy (eV per atom): -5.444

Unit cell a=7.686 b=4.430 c=8.460 alpha=90.00 beta=107.55 gamma=90.00
Space group P2/m (No. 10)
One atom of each set of equivalent atoms:
1 Ho 0.000 0.000 0.000 (multiplicity 1)
2 Pu 0.500 0.500 0.000 (multiplicity 1)
3 In 0.000 0.500 0.500 (multiplicity 1)
4 In 0.500 0.000 0.500 (multiplicity 1)
5 Te 0.234 0.500 0.220 (multiplicity 2)
6 Te 0.256 0.000 0.780 (multiplicity 2)

---

Here is HoPuTlIn after structural relaxation from Alexandria via LeMat-Bulk. Energies are from PBE-GGA.

Energy (eV per atom): -6.238
Formation enthalpy at 0 K (kcal/mol of atoms): -5.40
Energy relative to the lowest polymorph listed for this composition (meV per atom): 0

Unit cell a=3.359 b=3.359 c=9.375 alpha=90.00 beta=90.00 gamma=90.00
Space group P4mm (No. 99)
One atom of each set of equivalent atoms:
1 Ho 0.000 0.000 0.000 (multiplicity 1)
2 Pu 0.000 0.000 0.505 (multiplicity 1)
3 Tl 0.500 0.500 0.248 (multiplicity 1)
4 In 0.500 0.500 0.757 (multiplicity 1)

---

Here is HoPuTlIn after structural relaxation from Alexandria via LeMat-Bulk. Energies are from PBE-GGA.

Energy (eV per atom): -6.203
Formation enthalpy at 0 K (kcal/mol of atoms): -4.60
Energy relative to the lowest polymorph listed for this composition (meV per atom): 35

Unit cell a=7.585 b=7.585 c=7.585 alpha=90.00 beta=90.00 gamma=90.00
Space group F-43m (No. 216)
One atom of each set of equivalent atoms:
1 Ho 0.000 0.000 0.000 (multiplicity 4)
2 Pu 0.000 0.000 0.500 (multiplicity 4)
3 Tl 0.250 0.250 0.250 (multiplicity 4)
4 In 0.250 0.250 0.750 (multiplicity 4)

---

Here is HoTmPuIn after structural relaxation from Alexandria via LeMat-Bulk. Energies are from PBE-GGA.

Energy (eV per atom): -6.565
Formation enthalpy at 0 K (kcal/mol of atoms): -0.82

Unit cell a=7.619 b=7.619 c=7.619 alpha=90.00 beta=90.00 gamma=90.00
Space group F-43m (No. 216)
One atom of each set of equivalent atoms:
1 Ho 0.000 0.000 0.000 (multiplicity 4)
2 Tm 0.250 0.250 0.250 (multiplicity 4)
3 Pu 0.000 0.000 0.500 (multiplicity 4)
4 In 0.250 0.250 0.750 (multiplicity 4)

---

Here is RbHoIn2 after structural relaxation from Alexandria via LeMat-Bulk. Energies are from PBE-GGA.

Energy (eV per atom): -2.954
Formation enthalpy at 0 K (kcal/mol of atoms): -4.57

Unit cell a=3.865 b=3.865 c=8.898 alpha=90.00 beta=90.00 gamma=90.00
Space group P4/mmm (No. 123)
One atom of each set of equivalent atoms:
1 Rb 0.000 0.000 0.000 (multiplicity 1)
2 Ho 0.000 0.000 0.500 (multiplicity 1)
3 In 0.500 0.500 0.308 (multiplicity 2)

---

Here is Rb3Ho3InS8 after structural relaxation from Alexandria via LeMat-Bulk. Energies are from PBE-GGA.

Energy (eV per atom): -4.994

Unit cell a=13.796 b=7.955 c=9.118 alpha=90.00 beta=120.33 gamma=90.00
Space group C2/m (No. 12)
One atom of each set of equivalent atoms:
1 Rb 0.000 0.000 0.000 (multiplicity 2)
2 Rb 0.250 0.250 0.000 (multiplicity 4)
3 Ho 0.000 0.500 0.500 (multiplicity 2)
4 Ho 0.250 0.250 0.500 (multiplicity 4)
5 In 0.000 0.000 0.500 (multiplicity 2)
6 S 0.020 0.246 0.313 (multiplicity 8)
7 S 0.227 0.000 0.687 (multiplicity 4)
8 S 0.230 0.500 0.691 (multiplicity 4)

---

Here is Rb4Ho3InSe8 after structural relaxation from Alexandria via LeMat-Bulk. Energies are from PBE-GGA.

Energy (eV per atom): -4.504

Unit cell a=8.4266 b=8.4266 c=23.9941 alpha=90.00 beta=90.00 gamma=120.00
Space group R-3m (No. 166, hexagonal axes)
One atom of each set of equivalent atoms:
1 Rb 0.0000 0.0000 0.0000 (multiplicity 3)
2 Rb 0.0000 0.5000 0.0000 (multiplicity 9)
3 Ho 0.0000 0.5000 0.5000 (multiplicity 9)
4 In 0.0000 0.0000 0.5000 (multiplicity 3)
5 Se 0.0000 0.0000 0.2316 (multiplicity 6)
6 Se 0.0033 0.5016 0.2312 (multiplicity 18)

---

Here is RbHoInSe3 after structural relaxation from Alexandria via LeMat-Bulk. Energies are from PBE-GGA.

Energy (eV per atom): -4.395

Unit cell a=8.948 b=4.099 c=11.410 alpha=90.00 beta=108.58 gamma=90.00
Space group P2_1/m (No. 11)
One atom of each set of equivalent atoms:
1 Rb 0.232 0.250 0.269 (multiplicity 2)
2 Ho 0.357 0.750 0.855 (multiplicity 2)
3 In 0.132 0.250 0.580 (multiplicity 2)
4 Se 0.115 0.250 0.807 (multiplicity 2)
5 Se 0.337 0.750 0.590 (multiplicity 2)
6 Se 0.414 0.750 0.113 (multiplicity 2)

---

Here is Rb3Ho2InSe6 after structural relaxation from Alexandria via LeMat-Bulk. Energies are from PBE-GGA.

Energy (eV per atom): -4.386

Unit cell a=7.284 b=12.614 c=8.369 alpha=90.00 beta=106.88 gamma=90.00
Space group C2/m (No. 12)
One atom of each set of equivalent atoms:
1 Rb 0.000 0.000 0.000 (multiplicity 2)
2 Rb 0.000 0.332 0.000 (multiplicity 4)
3 Ho 0.000 0.167 0.500 (multiplicity 4)
4 In 0.000 0.500 0.500 (multiplicity 2)
5 Se 0.229 0.336 0.693 (multiplicity 8)
6 Se 0.236 0.000 0.694 (multiplicity 4)

---

Here is Rb3Ho2InTe6 after structural relaxation from Alexandria via LeMat-Bulk. Energies are from PBE-GGA.

Energy (eV per atom): -3.900

Unit cell a=7.808 b=13.518 c=8.945 alpha=90.00 beta=106.94 gamma=90.00
Space group C2/m (No. 12)
One atom of each set of equivalent atoms:
1 Rb 0.000 0.000 0.000 (multiplicity 2)
2 Rb 0.000 0.332 0.000 (multiplicity 4)
3 Ho 0.000 0.166 0.500 (multiplicity 4)
4 In 0.000 0.500 0.500 (multiplicity 2)
5 Te 0.229 0.336 0.696 (multiplicity 8)
6 Te 0.237 0.000 0.697 (multiplicity 4)

---

Here is RbHoInTe3 after structural relaxation from Alexandria via LeMat-Bulk. Energies are from PBE-GGA.

Energy (eV per atom): -3.925

Unit cell a=9.569 b=4.308 c=11.997 alpha=90.00 beta=109.50 gamma=90.00
Space group P2_1/m (No. 11)
One atom of each set of equivalent atoms:
1 Rb 0.229 0.250 0.281 (multiplicity 2)
2 Ho 0.364 0.750 0.847 (multiplicity 2)
3 In 0.123 0.250 0.572 (multiplicity 2)
4 Te 0.120 0.250 0.810 (multiplicity 2)
5 Te 0.340 0.750 0.580 (multiplicity 2)
6 Te 0.397 0.750 0.109 (multiplicity 2)

---

Here is Rb2HoInTe4 after structural relaxation from Alexandria via LeMat-Bulk. Energies are from PBE-GGA.

Energy (eV per atom): -3.687

Unit cell a=9.078 b=9.078 c=7.564 alpha=90.00 beta=90.00 gamma=90.00
Space group I-42m (No. 121)
One atom of each set of equivalent atoms:
1 Rb 0.000 0.500 0.000 (multiplicity 4)
2 Ho 0.000 0.000 0.000 (multiplicity 2)
3 In 0.000 0.000 0.500 (multiplicity 2)
4 Te 0.173 0.173 0.261 (multiplicity 8)

---

Here is HoIn5Rh6 after structural relaxation from Alexandria via LeMat-Bulk. Energies are from PBE-GGA.

Energy (eV per atom): -5.752
Formation enthalpy at 0 K (kcal/mol of atoms): -12.77

Unit cell a=4.544 b=13.627 c=6.715 alpha=90.00 beta=90.00 gamma=90.00
Space group Cmmm (No. 65)
One atom of each set of equivalent atoms:
1 Ho 0.000 0.000 0.000 (multiplicity 2)
2 In 0.000 0.000 0.500 (multiplicity 2)
3 In 0.000 0.334 0.000 (multiplicity 4)
4 In 0.000 0.334 0.500 (multiplicity 4)
5 Rh 0.000 0.170 0.254 (multiplicity 8)
6 Rh 0.000 0.500 0.260 (multiplicity 4)

---

Here is Ho3In7Rh4 after structural relaxation from Alexandria via LeMat-Bulk. Energies are from PBE-GGA.

Energy (eV per atom): -4.963
Formation enthalpy at 0 K (kcal/mol of atoms): -11.81

Unit cell a=16.140 b=4.399 c=10.044 alpha=90.00 beta=121.55 gamma=90.00
Space group C2/m (No. 12)
One atom of each set of equivalent atoms:
1 Ho 0.000 0.000 0.000 (multiplicity 2)
2 Ho 0.196 0.500 0.710 (multiplicity 4)
3 In 0.000 0.000 0.500 (multiplicity 2)
4 In 0.007 0.500 0.283 (multiplicity 4)
5 In 0.164 0.000 0.429 (multiplicity 4)
6 In 0.182 0.500 0.022 (multiplicity 4)
7 Rh 0.115 0.000 0.825 (multiplicity 4)
8 Rh 0.171 0.500 0.275 (multiplicity 4)

---

Here is Ho4InRh after structural relaxation from Alexandria via LeMat-Bulk. Energies are from PBE-GGA.

Energy (eV per atom): -5.220
Formation enthalpy at 0 K (kcal/mol of atoms): -11.21
Energy relative to the lowest polymorph listed for this composition (meV per atom): 80

Unit cell a=8.752 b=12.998 c=6.022 alpha=90.00 beta=107.67 gamma=90.00
Space group C2/c (No. 15)
One atom of each set of equivalent atoms:
1 Ho 0.110 0.170 0.050 (multiplicity 8)
2 Ho 0.215 0.421 0.385 (multiplicity 8)
3 In 0.000 0.376 0.750 (multiplicity 4)
4 Rh 0.000 0.000 0.250 (multiplicity 4)

---

Here is Ho12InRh6 after structural relaxation from Alexandria via LeMat-Bulk. Energies are from PBE-GGA.

Energy (eV per atom): -5.973
Formation enthalpy at 0 K (kcal/mol of atoms): -14.20

Unit cell a=9.833 b=9.833 c=9.833 alpha=90.00 beta=90.00 gamma=90.00
Space group Im-3 (No. 204)
One atom of each set of equivalent atoms:
1 Ho 0.000 0.189 0.300 (multiplicity 24)
2 In 0.000 0.000 0.000 (multiplicity 2)
3 Rh 0.000 0.370 0.500 (multiplicity 12)

---

Here is HoIn2Rh4 after structural relaxation from Alexandria via LeMat-Bulk. Energies are from PBE-GGA.

Energy (eV per atom): -5.927
Formation enthalpy at 0 K (kcal/mol of atoms): -6.67

Unit cell a=6.446 b=6.446 c=6.318 alpha=90.00 beta=90.00 gamma=90.00
Space group I4/mmm (No. 139)
One atom of each set of equivalent atoms:
1 Ho 0.000 0.000 0.000 (multiplicity 2)
2 In 0.000 0.500 0.000 (multiplicity 4)
3 Rh 0.250 0.250 0.250 (multiplicity 8)

---

Here is HoIn2Rh after structural relaxation from Alexandria via LeMat-Bulk. Energies are from PBE-GGA.

Energy (eV per atom): -4.945
Formation enthalpy at 0 K (kcal/mol of atoms): -13.69

Unit cell a=15.422 b=8.246 c=5.528 alpha=90.00 beta=90.00 gamma=90.00
Space group Pnma (No. 62)
One atom of each set of equivalent atoms:
1 Ho 0.104 0.250 0.240 (multiplicity 4)
2 Ho 0.139 0.750 0.459 (multiplicity 4)
3 In 0.037 0.049 0.746 (multiplicity 8)
4 In 0.215 0.547 0.968 (multiplicity 8)
5 Rh 0.071 0.750 0.972 (multiplicity 4)
6 Rh 0.183 0.250 0.744 (multiplicity 4)

---

Here is HoIn2Rh after structural relaxation from Alexandria via LeMat-Bulk. Energies are from PBE-GGA.

Energy (eV per atom): -4.757
Formation enthalpy at 0 K (kcal/mol of atoms): -9.36

Unit cell a=3.371 b=3.371 c=7.475 alpha=90.00 beta=90.00 gamma=90.00
Space group P4/mmm (No. 123)
One atom of each set of equivalent atoms:
1 Ho 0.000 0.000 0.000 (multiplicity 1)
2 In 0.500 0.500 0.295 (multiplicity 2)
3 Rh 0.000 0.000 0.500 (multiplicity 1)

---

Here is Ho6In2Rh after structural relaxation from Alexandria via LeMat-Bulk. Energies are from PBE-GGA.

Energy (eV per atom): -4.927
Formation enthalpy at 0 K (kcal/mol of atoms): -10.37
Energy relative to the lowest polymorph listed for this composition (meV per atom): 0

Unit cell a=3.793 b=14.942 c=8.636 alpha=90.00 beta=90.00 gamma=90.00
Space group Amm2 (No. 38)
One atom of each set of equivalent atoms:
1 Ho 0.000 0.000 0.000 (multiplicity 2)
2 Ho 0.000 0.121 0.635 (multiplicity 4)
3 Ho 0.500 0.000 0.363 (multiplicity 2)
4 Ho 0.500 0.197 0.953 (multiplicity 4)
5 In 0.000 0.167 0.256 (multiplicity 4)
6 Rh 0.500 0.000 0.758 (multiplicity 2)